No. 1
# KFeP2 (PBE, relaxed)
data_KFeP2
_chemical_formula_sum 'K1 Fe1 P2'
_cell_length_a 5.361
_cell_length_b 5.361
_cell_length_c 5.361
_cell_angle_alpha 135.48
_cell_angle_beta 135.48
_cell_angle_gamma 64.79
_space_group_name_H-M_alt 'P 1'
_space_group_IT_number 1
loop_
_space_group_symop_operation_xyz
'x,y,z'
loop_
_atom_site_label
_atom_site_type_symbol
_atom_site_fract_x
_atom_site_fract_y
_atom_site_fract_z
_atom_site_occupancy
K1 K 0.250 0.750 0.500 1
P1 P 0.750 0.250 0.500 1
P2 P 0.000 0.000 0.000 1
Fe1 Fe 0.500 0.500 0.000 1
# calculated formation energy	0.8421	eV per atom
# polymorph energy (0 for the lowest one)	1100	meV per atom
# crystal system	tetragonal
# SG	I-4m2 (119)


No. 2
# RbLiAuF6 (PBE, relaxed)
data_RbLiAuF6
_chemical_formula_sum 'Rb1 Li1 Au1 F6'
_cell_length_a 5.595
_cell_length_b 5.439
_cell_length_c 6.180
_cell_angle_alpha 89.58
_cell_angle_beta 89.16
_cell_angle_gamma 59.02
_space_group_name_H-M_alt 'P 1'
_space_group_IT_number 1
loop_
_space_group_symop_operation_xyz
'x,y,z'
loop_
_atom_site_label
_atom_site_type_symbol
_atom_site_fract_x
_atom_site_fract_y
_atom_site_fract_z
_atom_site_occupancy
Li1 Li 0.680 0.639 0.500 1
F1 F 0.357 0.623 0.323 1
F2 F 0.631 0.381 0.696 1
F3 F 0.020 0.623 0.677 1
F4 F 0.629 0.012 0.323 1
F5 F 0.359 0.012 0.677 1
F6 F 0.989 0.381 0.304 1
Rb1 Rb 0.999 0.001 0.000 1
Au1 Au 0.336 0.328 0.500 1
# raw formation energy	-1856	meV per atom
# crystal system	monoclinic
# SG	C2 (5)


No. 3
# Cs2Tl6AsPt (PBE, relaxed)
data_Cs2Tl6AsPt
_chemical_formula_sum 'Cs4 Tl12 As2 Pt2'
_cell_length_a 8.515
_cell_length_b 8.515
_cell_length_c 13.360
_cell_angle_alpha 71.42
_cell_angle_beta 71.42
_cell_angle_gamma 60.00
_space_group_name_H-M_alt 'P 1'
_space_group_IT_number 1
loop_
_space_group_symop_operation_xyz
'x,y,z'
loop_
_atom_site_label
_atom_site_type_symbol
_atom_site_fract_x
_atom_site_fract_y
_atom_site_fract_z
_atom_site_occupancy
As1 As 0.384 0.384 0.847 1
As2 As 0.616 0.616 0.153 1
Tl1 Tl 0.810 0.221 0.159 1
Tl2 Tl 0.416 0.416 0.341 1
Tl3 Tl 0.827 0.416 0.341 1
Tl4 Tl 0.779 0.190 0.841 1
Tl5 Tl 0.416 0.827 0.341 1
Tl6 Tl 0.810 0.810 0.159 1
Tl7 Tl 0.584 0.584 0.659 1
Tl8 Tl 0.584 0.173 0.659 1
Tl9 Tl 0.190 0.190 0.841 1
Tl10 Tl 0.173 0.584 0.659 1
Tl11 Tl 0.221 0.810 0.159 1
Tl12 Tl 0.190 0.779 0.841 1
Cs1 Cs 0.852 0.852 0.443 1
Cs2 Cs 0.291 0.291 0.127 1
Cs3 Cs 0.148 0.148 0.557 1
Cs4 Cs 0.709 0.709 0.873 1
Pt1 Pt 0.000 0.000 0.000 1
Pt2 Pt 0.500 0.500 0.500 1
# calculated formation energy	-0.1100	eV per atom
# crystal system	trigonal
# SG	R-3m (166)


No. 4
# PmNd7Sc2 (PBE, relaxed)
data_PmNd7Sc2
_chemical_formula_sum 'Pm1 Nd7 Sc2'
_cell_length_a 5.651
_cell_length_b 8.970
_cell_length_c 8.970
_cell_angle_alpha 119.66
_cell_angle_beta 90.00
_cell_angle_gamma 90.00
_space_group_name_H-M_alt 'P 1'
_space_group_IT_number 1
loop_
_space_group_symop_operation_xyz
'x,y,z'
loop_
_atom_site_label
_atom_site_type_symbol
_atom_site_fract_x
_atom_site_fract_y
_atom_site_fract_z
_atom_site_occupancy
Nd1 Nd 0.000 0.750 0.250 1
Nd2 Nd 0.500 0.939 0.695 1
Nd3 Nd 0.500 0.695 0.939 1
Nd4 Nd 0.000 0.250 0.750 1
Nd5 Nd 0.500 0.500 0.500 1
Nd6 Nd 0.500 0.305 0.061 1
Nd7 Nd 0.500 0.061 0.305 1
Sc1 Sc 0.500 0.702 0.298 1
Sc2 Sc 0.500 0.298 0.702 1
Pm1 Pm 0.000 0.000 0.000 1
# calculated formation energy	0.5938	eV per atom
# crystal system	orthorhombic
# SG	Cmmm (65)


No. 5
# LiTiSbPd (PBE, relaxed)
data_LiTiSbPd
_chemical_formula_sum 'Li1 Ti1 Sb1 Pd1'
_cell_length_a 4.576
_cell_length_b 4.576
_cell_length_c 4.576
_cell_angle_alpha 60.00
_cell_angle_beta 60.00
_cell_angle_gamma 60.00
_space_group_name_H-M_alt 'P 1'
_space_group_IT_number 1
loop_
_space_group_symop_operation_xyz
'x,y,z'
loop_
_atom_site_label
_atom_site_type_symbol
_atom_site_fract_x
_atom_site_fract_y
_atom_site_fract_z
_atom_site_occupancy
Li1 Li 0.750 0.750 0.750 1
Sb1 Sb 0.500 0.500 0.500 1
Ti1 Ti 0.250 0.250 0.250 1
Pd1 Pd 0.000 0.000 0.000 1
# raw formation energy	-502	meV per atom
# crystal system	cubic
# SG	F-43m (216)


No. 6
# KSi2Pt (PBE, relaxed)
data_KSi2Pt
_chemical_formula_sum 'K1 Si2 Pt1'
_cell_length_a 5.524
_cell_length_b 5.524
_cell_length_c 2.748
_cell_angle_alpha 90.00
_cell_angle_beta 90.00
_cell_angle_gamma 118.36
_space_group_name_H-M_alt 'P 1'
_space_group_IT_number 1
loop_
_space_group_symop_operation_xyz
'x,y,z'
loop_
_atom_site_label
_atom_site_type_symbol
_atom_site_fract_x
_atom_site_fract_y
_atom_site_fract_z
_atom_site_occupancy
K1 K 0.500 0.000 0.500 1
Si1 Si 0.500 0.500 0.000 1
Si2 Si 0.000 0.000 0.000 1
Pt1 Pt 0.000 0.500 0.500 1
# raw formation energy	494	meV per atom
# crystal system	orthorhombic
# SG	Cmmm (65)


Number 1: volume 18.67 A^3/atom. Number 2: volume 17.91 A^3/atom. Number 3: volume 39.00 A^3/atom. Number 4: volume 39.51 A^3/atom. Number 5: volume 16.94 A^3/atom. Number 6: volume 18.45 A^3/atom.